Record 1
Density functional theory data (PBE) for crystalline CsZn2Cd2 at its relaxed geometry.

Energy of formation, eV/f.u.: 0.9
Space-group type: P4/mbm (127)
Energy, eV per cell: -8.6

Unit cell a=9.194 b=9.194 c=3.223 alpha=90.00 beta=90.00 gamma=90.00
Positions (direct):
Cs 0.000 0.000 0.000
Cs 0.500 0.500 0.000
Zn 0.152 0.652 0.500
Zn 0.652 0.848 0.500
Zn 0.848 0.348 0.500
Zn 0.348 0.152 0.500
Cd 0.372 0.872 0.000
Cd 0.872 0.628 0.000
Cd 0.628 0.128 0.000
Cd 0.128 0.372 0.000

=====

Record 2
Density functional theory data (PBE) for crystalline Cs2Zn2Cd at its relaxed geometry.

Energy of formation, eV/f.u.: 0.8
Space-group type: P4/mbm (127)
Energy, eV per cell: -8.7

Unit cell a=8.085 b=8.085 c=5.933 alpha=90.00 beta=90.00 gamma=90.00
Positions (direct):
Cs 0.185 0.685 0.500
Cs 0.685 0.815 0.500
Cs 0.815 0.315 0.500
Cs 0.315 0.185 0.500
Zn 0.381 0.881 0.000
Zn 0.881 0.619 0.000
Zn 0.619 0.119 0.000
Zn 0.119 0.381 0.000
Cd 0.000 0.000 0.000
Cd 0.500 0.500 0.000

=====

Record 3
Density functional theory data (PBE) for crystalline Cs12Zn3Cd5 at its relaxed geometry.

Energy of formation, eV/f.u.: 3.9
Space-group type: Ia-3d (230)
Energy, eV per cell: -59.0

Unit cell a=19.930 b=19.930 c=19.930 alpha=109.47 beta=109.47 gamma=109.47
Positions (direct):
Cs 0.726 0.126 0.053
Cs 0.327 0.553 0.427
Cs 0.947 0.374 0.274
Cs 0.553 0.226 0.126
Cs 0.600 0.726 0.673
Cs 0.947 0.573 0.173
Cs 0.327 0.774 0.400
Cs 0.073 0.900 0.126
Cs 0.573 0.947 0.673
Cs 0.726 0.600 0.173
Cs 0.774 0.447 0.374
Cs 0.827 0.927 0.053
Cs 0.126 0.726 0.553
Cs 0.374 0.427 0.100
Cs 0.100 0.927 0.374
Cs 0.400 0.126 0.573
Cs 0.100 0.173 0.226
Cs 0.447 0.673 0.073
Cs 0.827 0.900 0.274
Cs 0.126 0.400 0.073
Cs 0.374 0.947 0.774
Cs 0.573 0.626 0.400
Cs 0.927 0.827 0.553
Cs 0.774 0.327 0.900
Cs 0.427 0.374 0.600
Cs 0.073 0.173 0.447
Cs 0.226 0.673 0.100
Cs 0.173 0.100 0.726
Cs 0.626 0.053 0.226
Cs 0.874 0.600 0.927
Cs 0.553 0.327 0.927
Cs 0.600 0.874 0.427
Cs 0.900 0.827 0.774
Cs 0.900 0.073 0.626
Cs 0.874 0.274 0.447
Cs 0.173 0.073 0.947
Cs 0.626 0.573 0.900
Cs 0.427 0.053 0.327
Cs 0.274 0.400 0.827
Cs 0.226 0.553 0.626
Cs 0.927 0.100 0.874
Cs 0.673 0.226 0.600
Cs 0.447 0.774 0.874
Cs 0.053 0.427 0.827
Cs 0.400 0.274 0.327
Cs 0.053 0.626 0.726
Cs 0.673 0.447 0.573
Cs 0.274 0.874 0.947
Zn 0.750 0.375 0.125
Zn 0.875 0.750 0.125
Zn 0.375 0.750 0.625
Zn 0.250 0.125 0.375
Zn 0.875 0.125 0.250
Zn 0.375 0.625 0.250
Zn 0.625 0.375 0.750
Zn 0.125 0.875 0.750
Zn 0.750 0.875 0.625
Zn 0.625 0.250 0.375
Zn 0.125 0.250 0.875
Zn 0.250 0.625 0.875
Cd 0.125 0.375 0.250
Cd 0.000 0.500 0.000
Cd 0.000 0.000 0.000
Cd 0.375 0.250 0.125
Cd 0.500 0.000 0.500
Cd 0.500 0.500 0.000
Cd 0.125 0.750 0.375
Cd 0.750 0.125 0.875
Cd 0.750 0.625 0.375
Cd 0.375 0.125 0.750
Cd 0.625 0.875 0.250
Cd 0.500 0.500 0.500
Cd 0.500 0.000 0.000
Cd 0.000 0.000 0.500
Cd 0.250 0.375 0.625
Cd 0.250 0.875 0.125
Cd 0.000 0.500 0.500
Cd 0.875 0.250 0.625
Cd 0.625 0.750 0.875
Cd 0.875 0.625 0.750

=====

Record 4
Density functional theory data (PBE) for crystalline CsZnCd4 at its relaxed geometry.

Energy of formation, eV/f.u.: 0.2
Space-group type: P2_1 (4)
Energy, eV per cell: -11.2

Unit cell a=4.813 b=10.186 c=8.205 alpha=90.00 beta=90.03 gamma=90.00
Positions (direct):
Cs 0.000 0.781 0.718
Cs 0.000 0.281 0.282
Zn 0.499 0.780 0.083
Zn 0.501 0.280 0.917
Cd 0.001 0.280 0.762
Cd 0.999 0.780 0.238
Cd 0.500 0.030 0.000
Cd 0.500 0.530 0.000
Cd 0.499 0.614 0.362
Cd 0.501 0.114 0.638
Cd 0.500 0.947 0.362
Cd 0.500 0.447 0.638

=====

Record 5
Density functional theory data (PBE) for crystalline CsZn2Cd at its relaxed geometry.

Energy of formation, eV/f.u.: 0.0
Space-group type: R-3m (166)
Energy, eV per cell: -4.3

Unit cell a=4.682 b=4.682 c=7.363 alpha=71.46 beta=71.46 gamma=60.00
Positions (direct):
Cs 0.500 0.500 0.500
Zn 0.316 0.316 0.051
Zn 0.684 0.684 0.949
Cd 0.000 0.000 0.000

=====

Record 6
Density functional theory data (PBE) for crystalline CsZn2Cd2 at its relaxed geometry.

Energy of formation, eV/f.u.: 0.3
Space-group type: I4/mmm (139)
Energy, eV per cell: -4.9

Unit cell a=5.070 b=5.070 c=6.677 alpha=67.69 beta=67.69 gamma=90.00
Positions (direct):
Cs 0.000 0.000 0.000
Zn 0.378 0.378 0.244
Zn 0.622 0.622 0.756
Cd 0.750 0.250 0.500
Cd 0.250 0.750 0.500

=====

Record 7
Density functional theory data (PBE) for crystalline Cs2ZnCd2 at its relaxed geometry.

Energy of formation, eV/f.u.: 0.6
Space-group type: P4/mbm (127)
Energy, eV per cell: -8.5

Unit cell a=8.188 b=8.188 c=6.162 alpha=90.00 beta=90.00 gamma=90.00
Positions (direct):
Cs 0.180 0.680 0.500
Cs 0.680 0.820 0.500
Cs 0.820 0.320 0.500
Cs 0.320 0.180 0.500
Zn 0.000 0.000 0.000
Zn 0.500 0.500 0.000
Cd 0.365 0.865 0.000
Cd 0.865 0.635 0.000
Cd 0.635 0.135 0.000
Cd 0.135 0.365 0.000

=====

Record 8
Density functional theory data (PBE) for crystalline Cs2ZnCd4 at its relaxed geometry.

Energy of formation, eV/f.u.: 0.5
Space-group type: I4/mmm (139)
Energy, eV per cell: -6.1

Unit cell a=5.455 b=5.455 c=10.449 alpha=105.13 beta=105.13 gamma=90.00
Positions (direct):
Cs 0.653 0.653 0.306
Cs 0.347 0.347 0.694
Zn 0.000 0.000 0.000
Cd 0.862 0.862 0.723
Cd 0.138 0.138 0.277
Cd 0.000 0.500 0.000
Cd 0.500 0.000 0.000

=====

> The highest energy belongs to which entry?

CsZn2Cd

=====

> Which formula does entry 8 have?

Cs2ZnCd4

=====

> energy of formation of number 4 (CsZnCd4)?

0.2 eV/f.u.

=====

> The lowest energy belongs to which entry?

Cs12Zn3Cd5